one:
Tb2PrCd2 | GGA-PBE | optimized geometry Values from VASP.

Output
Fermi-level density of states: 1.544 states/eV per atom
total magnetization: 0.0 μB/f.u.

Cell and atoms, written as Quantum ESPRESSO input:
```
&SYSTEM
  ibrav = 0, nat = 5, ntyp = 3
/
ATOMIC_SPECIES
Cd 112.41 Cd.upf
Tb 158.93 Tb.upf
Pr 140.91 Pr.upf
CELL_PARAMETERS angstrom
-0.748 -0.931 -4.759
-4.502 -1.711 0.936
-0.214 7.042 0.823
ATOMIC_POSITIONS crystal
Cd 0.371 0.371 0.798
Cd 0.629 0.629 0.202
Tb 0.250 0.750 0.500
Tb 0.750 0.250 0.500
Pr 0.000 0.000 0.000
```



two:
Tb2PrCd2 | GGA-PBE | optimized geometry Values from VASP.

Output
Fermi-level density of states: 1.124 states/eV per atom
total magnetization: 0.0 μB/f.u.

Cell and atoms, written as Quantum ESPRESSO input:
```
&SYSTEM
  ibrav = 0, nat = 10, ntyp = 3
/
ATOMIC_SPECIES
Cd 112.41 Cd.upf
Tb 158.93 Tb.upf
Pr 140.91 Pr.upf
CELL_PARAMETERS angstrom
3.743 0.000 -0.502
0.000 5.469 0.000
-0.030 0.000 14.024
ATOMIC_POSITIONS crystal
Cd 0.358 0.250 0.716
Cd 0.548 0.250 0.095
Cd 0.452 0.750 0.905
Cd 0.642 0.750 0.284
Tb 0.236 0.750 0.473
Tb 0.047 0.750 0.093
Tb 0.764 0.250 0.527
Tb 0.953 0.250 0.907
Pr 0.149 0.250 0.296
Pr 0.851 0.750 0.704
```



What are the relative energies? In meV/atom: one 196; two 0.